No. 1
## Zr5In (GGA-PBEsol)

Data for crystalline Zr5In at its relaxed geometry.

Calculated values
Total magnetic moment ... 0.000 μB per cell
Fermi-level density of states ... 6.8 states/eV/f.u.
Space-group type ... Amm2
Formation enthalpy at 0 K ... -58 kJ/mol of formula units
Volume ... 22.00 Å³/atom

Lattice parameters (Å, degrees): 5.132 8.322 8.322 21.80 90.00 90.00
Atoms (fractional coordinates):
Zr 0.000 0.000 0.000
Zr 0.000 0.327 0.327
Zr 0.000 0.663 0.663
Zr 0.500 0.117 0.117
Zr 0.500 0.446 0.446
In 0.500 0.778 0.778

=====

No. 2
## Cd2SbBr (GGA-PBEsol)

Data for crystalline Cd2SbBr at its relaxed geometry.

Calculated values
Total magnetic moment ... 0.000 μB per cell
Fermi-level density of states ... 1.9 states/eV/f.u.
Space-group type ... Immm
Excess energy over the best structure of this formula in the dataset ... 29.5 kJ per mole of atoms
Volume ... 25.11 Å³/atom

Lattice parameters (Å, degrees): 6.922 6.922 6.922 153.86 136.35 51.59
Atoms (fractional coordinates):
Cd 0.225 0.225 0.000
Cd 0.775 0.775 0.000
Sb 0.000 0.500 0.500
Br 0.500 0.000 0.500

=====

No. 3
## Be2Nb2Os (GGA-PBEsol)

Data for crystalline Be2Nb2Os at its relaxed geometry.

Calculated values
Total magnetic moment ... 0.000 μB per cell
Fermi-level density of states ... 0.6 states/eV/f.u.
Space-group type ... P4/mbm
Formation enthalpy at 0 K ... -176 kJ/mol of formula units
Volume ... 12.83 Å³/atom

Lattice parameters (Å, degrees): 6.251 6.251 3.283 90.00 90.00 90.00
Atoms (fractional coordinates):
Be 0.122 0.378 0.000
Be 0.378 0.878 0.000
Be 0.622 0.122 0.000
Be 0.878 0.622 0.000
Nb 0.175 0.675 0.500
Nb 0.325 0.175 0.500
Nb 0.675 0.825 0.500
Nb 0.825 0.325 0.500
Os 0.000 0.000 0.000
Os 0.500 0.500 0.000

=====

No. 4
## Na2PRu (GGA-PBEsol)

Data for crystalline Na2PRu at its relaxed geometry.

Calculated values
Total magnetic moment ... 1.262 μB per cell
Fermi-level density of states ... 2.9 states/eV/f.u.
Space-group type ... I-42d
Formation enthalpy at 0 K ... 170 kJ/mol of formula units
Volume ... 16.28 Å³/atom

Lattice parameters (Å, degrees): 10.660 10.660 10.660 160.85 160.85 27.21
Atoms (fractional coordinates):
Na 0.118 0.625 0.993
Na 0.375 0.368 0.493
Na 0.632 0.125 0.007
Na 0.875 0.882 0.507
P 0.000 0.000 0.000
P 0.750 0.250 0.500
Ru 0.250 0.750 0.500
Ru 0.500 0.500 0.000

=====

No. 5
## LiYPCl2 (GGA-PBEsol)

Data for crystalline LiYPCl2 at its relaxed geometry.

Calculated values
Total magnetic moment ... 0.971 μB per cell
Fermi-level density of states ... 4.4 states/eV/f.u.
Space-group type ... P4/mmm
Final energy ... -4.7509 eV/atom
Volume ... 29.10 Å³/atom

Lattice parameters (Å, degrees): 5.188 5.188 5.406 90.00 90.00 90.00
Atoms (fractional coordinates):
Li 0.000 0.000 0.000
Y 0.500 0.500 0.500
P 0.500 0.500 0.000
Cl 0.000 0.500 0.500
Cl 0.500 0.000 0.500

=====

No. 6
## SrCaCuP2O8 (GGA-PBEsol)

Data for crystalline SrCaCuP2O8 at its relaxed geometry.

Calculated values
Total magnetic moment ... 1.998 μB per cell
Space-group type ... P-1
Final energy ... -7.1931 eV/atom
Volume ... 12.39 Å³/atom

Lattice parameters (Å, degrees): 5.822 6.760 9.099 108.23 103.41 98.03
Atoms (fractional coordinates):
Sr 0.208 0.193 0.426
Sr 0.792 0.807 0.574
Ca 0.478 0.581 0.832
Ca 0.522 0.419 0.168
Cu 0.148 0.844 0.040
Cu 0.852 0.156 0.960
P 0.122 0.586 0.271
P 0.349 0.032 0.792
P 0.651 0.968 0.208
P 0.878 0.414 0.729
O 0.091 0.455 0.661
O 0.100 0.402 0.108
O 0.133 0.799 0.239
O 0.153 0.924 0.852
O 0.236 0.994 0.615
O 0.366 0.583 0.383
O 0.431 0.083 0.187
O 0.453 0.271 0.898
O 0.547 0.729 0.102
O 0.569 0.917 0.813
O 0.634 0.417 0.617
O 0.764 0.006 0.385
O 0.847 0.076 0.148
O 0.867 0.201 0.761
O 0.900 0.598 0.892
O 0.909 0.545 0.339

=====

No. 7
## SbAuI2F (GGA-PBEsol)

Data for crystalline SbAuI2F at its relaxed geometry.

Calculated values
Total magnetic moment ... 0.000 μB per cell
Fermi-level density of states ... 1.3 states/eV/f.u.
Space-group type ... P4/mmm
Final energy ... -2.7298 eV/atom
Volume ... 26.64 Å³/atom

Lattice parameters (Å, degrees): 5.672 5.672 4.140 90.00 90.00 90.00
Atoms (fractional coordinates):
Sb 0.000 0.000 0.000
Au 0.500 0.500 0.000
I 0.000 0.500 0.500
I 0.500 0.000 0.500
F 0.000 0.000 0.500

=====

No. 8
## SrIr2Pt2 (GGA-PBEsol)

Data for crystalline SrIr2Pt2 at its relaxed geometry.

Calculated values
Total magnetic moment ... 0.000 μB per cell
Fermi-level density of states ... 4.0 states/eV/f.u.
Space-group type ... I4/mmm
Formation enthalpy at 0 K ... -5 kJ/mol of formula units
Volume ... 19.29 Å³/atom

Lattice parameters (Å, degrees): 6.057 6.057 6.057 138.53 138.53 60.10
Atoms (fractional coordinates):
Sr 0.000 0.000 0.000
Ir 0.390 0.390 0.000
Ir 0.610 0.610 0.000
Pt 0.250 0.750 0.500
Pt 0.750 0.250 0.500

=====

No. 9
## EuVO4 (GGA-PBEsol)

Data for crystalline EuVO4 at its relaxed geometry.

Calculated values
Total magnetic moment ... 12.000 μB per cell
Fermi-level density of states ... 12.7 states/eV/f.u.
Space-group type ... I4_1/amd
Final energy ... -9.5784 eV/atom
Volume ... 13.91 Å³/atom

Lattice parameters (Å, degrees): 6.030 6.030 6.030 106.08 106.08 116.49
Atoms (fractional coordinates):
Eu 0.375 0.625 0.750
Eu 0.625 0.375 0.250
V 0.125 0.875 0.250
V 0.875 0.125 0.750
O 0.136 0.704 0.432
O 0.229 0.296 0.932
O 0.296 0.229 0.432
O 0.296 0.864 0.068
O 0.704 0.136 0.932
O 0.704 0.771 0.568
O 0.771 0.704 0.068
O 0.864 0.296 0.568

=====

No. 10
## TeIrSe2Br (GGA-PBEsol)

Data for crystalline TeIrSe2Br at its relaxed geometry.

Calculated values
Total magnetic moment ... 2.749 μB per cell
Fermi-level density of states ... 9.6 states/eV/f.u.
Space-group type ... P4/mmm
Final energy ... -3.0363 eV/atom
Volume ... 28.85 Å³/atom

Lattice parameters (Å, degrees): 5.231 5.231 5.272 90.00 90.00 90.00
Atoms (fractional coordinates):
Te 0.000 0.000 0.000
Ir 0.500 0.500 0.500
Se 0.000 0.500 0.000
Se 0.500 0.000 0.000
Br 0.000 0.000 0.500

=====

No. 11
## Be2RuCl (GGA-PBEsol)

Data for crystalline Be2RuCl at its relaxed geometry.

Calculated values
Total magnetic moment ... 0.000 μB per cell
Fermi-level density of states ... 2.0 states/eV/f.u.
Space-group type ... P4mm
Excess energy over the best structure of this formula in the dataset ... 0.0 kJ per mole of atoms
Volume ... 13.73 Å³/atom

Lattice parameters (Å, degrees): 2.949 2.949 6.314 90.00 90.00 90.00
Atoms (fractional coordinates):
Be 0.000 0.000 0.000
Be 0.500 0.500 0.198
Ru 0.500 0.500 0.865
Cl 0.000 0.000 0.383

=====

No. 12
## Mo3OsI (GGA-PBEsol)

Data for crystalline Mo3OsI at its relaxed geometry.

Calculated values
Total magnetic moment ... 0.040 μB per cell
Fermi-level density of states ... 7.5 states/eV/f.u.
Space-group type ... Pm-3m
Final energy ... -7.0829 eV/atom
Volume ... 20.75 Å³/atom

Lattice parameters (Å, degrees): 4.699 4.699 4.699 90.00 90.00 90.00
Atoms (fractional coordinates):
Mo 0.000 0.000 0.500
Mo 0.000 0.500 0.000
Mo 0.500 0.000 0.000
Os 0.500 0.500 0.500
I 0.000 0.000 0.000

=====

No. 13
## Li2MgGeOs (GGA-PBEsol)

Data for crystalline Li2MgGeOs at its relaxed geometry.

Calculated values
Total magnetic moment ... 0.003 μB per cell
Fermi-level density of states ... 4.7 states/eV/f.u.
Space-group type ... P4/mmm
Formation enthalpy at 0 K ... 510 kJ/mol of formula units
Volume ... 20.58 Å³/atom

Lattice parameters (Å, degrees): 4.590 4.590 4.884 90.00 90.00 90.00
Atoms (fractional coordinates):
Li 0.000 0.500 0.000
Li 0.500 0.000 0.000
Mg 0.000 0.000 0.500
Ge 0.500 0.500 0.500
Os 0.000 0.000 0.000

=====

No. 14
## CrCo3 (GGA-PBEsol)

Data for crystalline CrCo3 at its relaxed geometry.

Calculated values
Total magnetic moment ... 0.032 μB per cell
Fermi-level density of states ... 4.4 states/eV/f.u.
Space-group type ... I4/mmm
Excess energy over the best structure of this formula in the dataset ... 4.6 kJ per mole of atoms
Formation enthalpy at 0 K ... 4 kJ/mol of formula units
Volume ... 10.08 Å³/atom

Lattice parameters (Å, degrees): 7.271 7.271 7.271 152.71 152.71 38.98
Atoms (fractional coordinates):
Cr 0.128 0.128 0.000
Cr 0.872 0.872 0.000
Co 0.000 0.500 0.500
Co 0.250 0.750 0.500
Co 0.378 0.378 0.000
Co 0.500 0.000 0.500
Co 0.622 0.622 0.000
Co 0.750 0.250 0.500

=====

No. 15
## LiCa2La (GGA-PBEsol)

Data for crystalline LiCa2La at its relaxed geometry.

Calculated values
Total magnetic moment ... 0.000 μB per cell
Fermi-level density of states ... 5.6 states/eV/f.u.
Space-group type ... P4/mmm
Excess energy over the best structure of this formula in the dataset ... 0.0 kJ per mole of atoms
Formation enthalpy at 0 K ... 32 kJ/mol of formula units
Volume ... 34.15 Å³/atom

Lattice parameters (Å, degrees): 3.637 3.637 10.326 90.00 90.00 90.00
Atoms (fractional coordinates):
Li 0.000 0.000 0.000
Ca 0.500 0.500 0.226
Ca 0.500 0.500 0.774
La 0.000 0.000 0.500

=====

No. 16
## BeCr2As (GGA-PBEsol)

Data for crystalline BeCr2As at its relaxed geometry.

Calculated values
Total magnetic moment ... 1.956 μB per cell
Fermi-level density of states ... 3.0 states/eV/f.u.
Space-group type ... Amm2
Formation enthalpy at 0 K ... 28 kJ/mol of formula units
Volume ... 11.50 Å³/atom

Lattice parameters (Å, degrees): 3.588 4.497 4.497 39.33 90.00 90.00
Atoms (fractional coordinates):
Be 0.000 0.000 0.000
Cr 0.000 0.735 0.735
Cr 0.500 0.443 0.443
As 0.500 0.163 0.163

=====

No. 17
## RbNa2Ru (GGA-PBEsol)

Data for crystalline RbNa2Ru at its relaxed geometry.

Calculated values
Total magnetic moment ... 1.452 μB per cell
Fermi-level density of states ... 6.0 states/eV/f.u.
Space-group type ... Fm-3m
Formation enthalpy at 0 K ... 430 kJ/mol of formula units
Volume ... 27.46 Å³/atom

Lattice parameters (Å, degrees): 5.375 5.375 5.375 60.00 60.00 60.00
Atoms (fractional coordinates):
Rb 0.000 0.000 0.000
Na 0.250 0.250 0.250
Na 0.750 0.750 0.750
Ru 0.500 0.500 0.500

=====

No. 18
## YMnSe2 (GGA-PBEsol)

Data for crystalline YMnSe2 at its relaxed geometry.

Calculated values
Total magnetic moment ... 0.000 μB per cell
Fermi-level density of states ... 1.2 states/eV/f.u.
Space-group type ... R-3m
Final energy ... -6.9148 eV/atom
Volume ... 17.96 Å³/atom

Lattice parameters (Å, degrees): 5.960 5.960 5.960 37.94 37.94 37.94
Atoms (fractional coordinates):
Y 0.000 0.000 0.000
Mn 0.500 0.500 0.500
Se 0.231 0.231 0.231
Se 0.769 0.769 0.769

=====

No. 19
## ZnP2SBr (GGA-PBEsol)

Data for crystalline ZnP2SBr at its relaxed geometry.

Calculated values
Total magnetic moment ... 0.001 μB per cell
Fermi-level density of states ... 5.2 states/eV/f.u.
Space-group type ... P4/mmm
Final energy ... -2.4939 eV/atom
Volume ... 21.90 Å³/atom

Lattice parameters (Å, degrees): 4.807 4.807 4.738 90.00 90.00 90.00
Atoms (fractional coordinates):
Zn 0.000 0.000 0.000
P 0.000 0.500 0.500
P 0.500 0.000 0.500
S 0.500 0.500 0.000
Br 0.500 0.500 0.500

=====

No. 20
## GaPbO3 (GGA-PBEsol)

Data for crystalline GaPbO3 at its relaxed geometry.

Calculated values
Total magnetic moment ... 0.956 μB per cell
Fermi-level density of states ... 3.7 states/eV/f.u.
Space-group type ... Pm-3m
Final energy ... -5.7789 eV/atom
Volume ... 11.88 Å³/atom

Lattice parameters (Å, degrees): 3.902 3.902 3.902 90.00 90.00 90.00
Atoms (fractional coordinates):
Ga 0.000 0.000 0.000
Pb 0.500 0.500 0.500
O 0.000 0.000 0.500
O 0.000 0.500 0.000
O 0.500 0.000 0.000